Density functional theory data (GGA-PBE) for a relaxed Ag4RhF7 crystal.

```
data_Ag4RhF7
_cell_length_a 8.4745
_cell_length_b 8.4745
_cell_length_c 6.7674
_cell_angle_alpha 109.50
_cell_angle_beta 109.50
_cell_angle_gamma 27.11
_space_group_name_H-M_alt 'P 1'
_space_group_IT_number 1
loop_
_space_group_symop_operation_xyz
'x,y,z'
loop_
_atom_site_label
_atom_site_fract_x
_atom_site_fract_y
_atom_site_fract_z
Ag1 0.0784 0.0784 0.1808
Ag2 0.2115 0.2115 0.7582
Ag3 0.7885 0.7885 0.2418
Ag4 0.9216 0.9216 0.8192
Rh1 0.5000 0.5000 0.5000
F1 0.0000 0.0000 0.5000
F2 0.2021 0.2021 0.1194
F3 0.3713 0.3713 0.4356
F4 0.4923 0.4923 0.1973
F5 0.5077 0.5077 0.8027
F6 0.6287 0.6287 0.5644
F7 0.7979 0.7979 0.8806
```

Summary:
The value obtained for the uncorrected formation energy is -1.106 eV/atom. The calculation puts the total magnetization at 0.00 μB per formula unit.

---

Density functional theory data (GGA-PBE) for a relaxed Ag2RhF6 crystal.

```
data_Ag2RhF6
_cell_length_a 6.0690
_cell_length_b 5.7021
_cell_length_c 10.8741
_cell_angle_alpha 90.00
_cell_angle_beta 123.36
_cell_angle_gamma 90.00
_space_group_name_H-M_alt 'P 1'
_space_group_IT_number 1
loop_
_space_group_symop_operation_xyz
'x,y,z'
loop_
_atom_site_label
_atom_site_fract_x
_atom_site_fract_y
_atom_site_fract_z
Ag1 0.1998 0.0083 0.2035
Ag2 0.1998 0.4917 0.7035
Ag3 0.8002 0.5083 0.2965
Ag4 0.8002 0.9917 0.7965
Rh1 0.5000 0.0000 0.0000
Rh2 0.5000 0.5000 0.5000
F1 0.2119 0.7040 0.3516
F2 0.2119 0.7960 0.8516
F3 0.2173 0.1788 0.9951
F4 0.2173 0.3212 0.4951
F5 0.4821 0.1843 0.8410
F6 0.4821 0.3157 0.3410
F7 0.5179 0.6843 0.6590
F8 0.5179 0.8157 0.1590
F9 0.7827 0.6788 0.5049
F10 0.7827 0.8212 0.0049
F11 0.7881 0.2040 0.1484
F12 0.7881 0.2960 0.6484
```

Summary:
The offset from the most stable computed form is 4 meV/atom. The value obtained for the uncorrected formation energy is -1.347 eV/atom. The calculation puts the total magnetization at 1.08 μB per formula unit.